(1)
Material: SiAg2As
Method: DFT, PBE
State: relaxed

## Properties
**ΔE to the lowest computed polymorph**: 106 meV per atom

Unit cell a=4.5454 b=4.5454 c=5.7614 alpha=79.53 beta=79.53 gamma=38.32
With the nearest neighbours (Å) after each atom.
Positions (direct):
Si 0.2500 0.2500 0.2500  6 Ag 2.70-2.76, 2 Si 2.98
As 0.7500 0.7500 0.7500  6 Ag 2.86, 2 As 2.98
Ag 0.5050 0.5050 0.4762  3 Si 2.70-2.76, 3 As 2.86, 4 Ag 2.98-3.02
Ag 0.9950 0.9950 0.0238  3 Si 2.70-2.76, 3 As 2.86, 4 Ag 2.98-3.02

=====

(2)
Material: SiAg2As
Method: DFT, PBE
State: relaxed

## Properties
**ΔE to the lowest computed polymorph**: 147 meV per atom

Unit cell a=5.1129 b=5.1129 c=5.1129 alpha=132.17 beta=132.17 gamma=69.96
With the nearest neighbours (Å) after each atom.
Positions (direct):
Ag 0.0000 0.0000 0.0000  4 As 2.93, 4 Si 2.95, 4 Ag 2.95
As 0.5000 0.5000 0.0000  8 Ag 2.93-2.95, 4 Si 2.95
Ag 0.2500 0.7500 0.5000  4 Si 2.93, 4 As 2.95, 4 Ag 2.95
Si 0.7500 0.2500 0.5000  8 Ag 2.93-2.95, 4 As 2.95

=====

(3)
Material: SiAg2As
Method: DFT, PBE
State: relaxed

## Properties
**ΔE to the lowest computed polymorph**: 0 meV per atom

Unit cell a=6.3025 b=6.3025 c=4.4772 alpha=102.95 beta=102.95 gamma=26.11
With the nearest neighbours (Å) after each atom.
Positions (direct):
Ag 0.0377 0.0377 0.9613  4 As 2.78-2.80, 4 Ag 2.85-3.02, 1 Si 2.87
Si 0.2629 0.2629 0.3259  1 As 2.44, 4 Ag 2.65-2.71
Ag 0.7327 0.7327 0.7992  4 Si 2.65-2.71, 2 Ag 2.85
As 0.4666 0.4666 0.4137  1 Si 2.44

=====

(4)
Material: SiAg2As
Method: DFT, PBE
State: relaxed

## Properties
**ΔE to the lowest computed polymorph**: 124 meV per atom

Unit cell a=4.8336 b=2.9235 c=5.3514 alpha=75.27 beta=90.00 gamma=90.00
With the nearest neighbours (Å) after each atom.
Positions (direct):
Ag 0.0000 0.9161 0.0246  3 As 2.68-2.91, 6 Ag 2.92-3.00
Ag 0.5000 0.3280 0.2199  3 Si 2.63-2.94, 2 Ag 2.92
As 0.0000 0.6552 0.5432  2 Si 2.57, 2 Ag 2.68-2.87
Si 0.5000 0.6007 0.7123  2 As 2.57, 1 Ag 2.63

=====

(5)
Material: SiAg2As
Method: DFT, PBE
State: relaxed

## Properties
**ΔE to the lowest computed polymorph**: 132 meV per atom

Unit cell a=4.1214 b=4.1214 c=4.2279 alpha=90.00 beta=90.00 gamma=90.00
With the nearest neighbours (Å) after each atom.
Positions (direct):
As 0.5000 0.0000 0.5000  4 Si 2.91, 8 Ag 2.95
Ag 0.5000 0.5000 0.0000  4 Ag 2.91, 4 As 2.95, 4 Si 2.95
Ag 0.0000 0.0000 0.0000  4 Ag 2.91, 4 As 2.95, 4 Si 2.95
Si 0.0000 0.5000 0.5000  4 As 2.91, 8 Ag 2.95

=====

(6)
Material: SiAgAs
Method: DFT, PBE
State: relaxed

## Properties
**ΔE to the lowest computed polymorph**: 52 meV per atom

Unit cell a=4.6608 b=4.6608 c=2.8880 alpha=90.00 beta=90.00 gamma=120.00
With the nearest neighbours (Å) after each atom.
Positions (direct):
As 0.6667 0.3333 0.4955  3 Si 2.69, 2 As 2.89
Si 0.3333 0.6667 0.4935  3 As 2.69, 2 Si 2.89
Ag 0.0000 0.0000 0.0109  2 Ag 2.89, 6 Si 3.03-3.08, 6 As 3.03-3.08

=====

(7)
Material: SiAg2As
Method: DFT, PBE
State: relaxed

## Properties
**ΔE to the lowest computed polymorph**: 249 meV per atom

Unit cell a=7.4851 b=7.4851 c=5.9524 alpha=51.04 beta=51.04 gamma=90.00
With the nearest neighbours (Å) after each atom.
Positions (direct):
Si 0.2500 0.7500 0.5000  4 Ag 2.67, 2 As 2.72
As 0.7500 0.2500 0.5000  2 Si 2.72, 4 Ag 2.80
Ag 0.8750 0.8622 0.7500  2 Si 2.67, 2 Ag 2.73, 2 As 2.80
Ag 0.1378 0.6250 0.2500  2 Si 2.67, 2 Ag 2.73, 2 As 2.80
Si 0.5000 0.5000 0.0000  4 Ag 2.67, 2 As 2.72
Ag 0.6122 0.1250 0.2500  2 Si 2.67, 2 Ag 2.73, 2 As 2.80
Ag 0.3750 0.3878 0.7500  2 Si 2.67, 2 Ag 2.73, 2 As 2.80
As 0.0000 0.0000 0.0000  2 Si 2.72, 4 Ag 2.80

=====

(8)
Material: SiAg2As
Method: DFT, PBE
State: relaxed

## Properties
**ΔE to the lowest computed polymorph**: 128 meV per atom

Unit cell a=5.0433 b=5.0433 c=3.0146 alpha=90.00 beta=90.00 gamma=110.06
With the nearest neighbours (Å) after each atom.
Positions (direct):
Si 0.0000 0.5000 0.5000  2 As 2.89, 8 Ag 2.94, 2 Si 3.01
As 0.5000 0.0000 0.5000  2 Si 2.89, 8 Ag 2.94, 2 As 3.01
Ag 0.0000 0.0000 0.0000  4 Ag 2.89-3.01, 4 Si 2.94, 4 As 2.94
Ag 0.5000 0.5000 0.0000  4 Ag 2.89-3.01, 4 As 2.94, 4 Si 2.94

=====

Number 1: formation energy without anion corrections 0.281 eV/atom. Number 2: formation energy without anion corrections 0.322 eV/atom. Number 3: formation energy without anion corrections 0.175 eV/atom. Number 4: formation energy without anion corrections 0.299 eV/atom. Number 5: formation energy without anion corrections 0.307 eV/atom. Number 6: formation energy without anion corrections 0.397 eV/atom. Number 7: formation energy without anion corrections 0.424 eV/atom. Number 8: formation energy without anion corrections 0.302 eV/atom.